Computed, not measured: MgV2Ru3 after structural relaxation at the PBE level of DFT.

abc: 3.019 3.019 9.355
angles: 90.00 90.00 90.00
Space group P4/mmm (No. 123)
Asymmetric unit:
Mg (0.000, 0.000, 0.000) (multiplicity 1)
V (0.000, 0.000, 0.332) (multiplicity 2)
Ru (0.500, 0.500, 0.189) (multiplicity 2)
Ru (0.500, 0.500, 0.500) (multiplicity 1)

Values from the calculation:
M_tot: 0.00 μB/cell
VASP energy: -8.257 eV per atom
ΔH_f (0 K): -314 meV/atom